Computed, not measured: crystalline Li4W at its relaxed geometry at the PBE level of DFT.

a = 6.3250 Å, b = 6.3250 Å, c = 6.3250 Å
α = 90.00°, β = 90.00°, γ = 90.00°
Closest atoms and distances in Å follow each position.
Space group Im-3m (No. 229)
Symmetry-distinct sites (fractional):
Li1 0.2500 0.2500 0.2500 x8  2 W 2.74
W1 0.0000 0.0000 0.0000 x2  8 Li 2.74

Calculated values
The calculation puts the calculated formation energy at 1212 meV/atom. As for the calculated total energy: -2.910 eV per atom.